Record 1
Density functional theory data (GGA-PBE) for a relaxed structure of CuRhO.

Cell lengths 2.9481, 2.9481, 9.3973 Å; angles 90.00, 90.00, 90.00 degrees
Space group I4mm (No. 107)
Symmetry-distinct sites (fractional):
Cu  0.0000  0.0000  0.0000 [2 per cell]
Rh  0.0000  0.0000  0.7431 [2 per cell]
O  0.0000  0.0000  0.2052 [2 per cell]

Energy (eV/cell): -31.88
Offset from the most stable computed form (eV per atom): 0.0000
Raw formation energy (eV per atom): 0.155

***

Record 2
Density functional theory data (GGA-PBE) for a relaxed structure of FeCu2As.

Cell lengths 3.0984, 3.0984, 5.3602 Å; angles 90.00, 90.00, 90.00 degrees
Space group P4mm (No. 99)
Symmetry-distinct sites (fractional):
Fe  0.0000  0.0000  0.0000 [1 per cell]
Cu  0.0000  0.0000  0.5051 [1 per cell]
Cu  0.5000  0.5000  0.7262 [1 per cell]
As  0.5000  0.5000  0.2056 [1 per cell]

Energy (eV/cell): -20.84

***

Record 3
Density functional theory data (GGA-PBE) for a relaxed structure of Nd8SiIr3I4.

Cell lengths 8.5401, 8.5401, 24.0842 Å; angles 90.00, 90.00, 120.00 degrees
Space group R-3m (No. 166, hexagonal axes)
Symmetry-distinct sites (fractional):
Nd  0.0000  0.0000  0.2292 [6 per cell]
Nd  0.0115  0.5058  0.7715 [18 per cell]
Si  0.0000  0.0000  0.5000 [3 per cell]
Ir  0.0000  0.5000  0.5000 [9 per cell]
I  0.0000  0.0000  0.0000 [3 per cell]
I  0.0000  0.5000  0.0000 [9 per cell]

Energy (eV/cell): -273.02
Raw formation energy (eV per atom): -0.916

***

Record 4
Density functional theory data (GGA-PBE) for a relaxed structure of Hf3ZrNi12.

Cell lengths 3.7384, 3.7384, 14.8527 Å; angles 90.00, 90.00, 90.00 degrees
Space group P4/mmm (No. 123)
Symmetry-distinct sites (fractional):
Hf  0.0000  0.0000  0.0000 [1 per cell]
Hf  0.0000  0.0000  0.2488 [2 per cell]
Zr  0.0000  0.0000  0.5000 [1 per cell]
Ni  0.0000  0.5000  0.1243 [4 per cell]
Ni  0.0000  0.5000  0.3734 [4 per cell]
Ni  0.5000  0.5000  0.0000 [1 per cell]
Ni  0.5000  0.5000  0.2487 [2 per cell]
Ni  0.5000  0.5000  0.5000 [1 per cell]

Energy (eV/cell): -115.49

***

Record 5
Density functional theory data (GGA-PBE) for a relaxed structure of ScAu2NCl.

Cell lengths 4.7589, 4.7589, 4.7731 Å; angles 90.00, 90.00, 90.00 degrees
Space group P4/mmm (No. 123)
Symmetry-distinct sites (fractional):
Sc  0.0000  0.0000  0.0000 [1 per cell]
Au  0.0000  0.5000  0.5000 [2 per cell]
N  0.5000  0.5000  0.0000 [1 per cell]
Cl  0.0000  0.0000  0.5000 [1 per cell]

Energy (eV/cell): -16.50
Raw formation energy (eV per atom): 1.311

***

Record 6
Density functional theory data (GGA-PBE) for a relaxed structure of Ba2AgIr.

Cell lengths 3.9564, 5.2648, 11.6426 Å; angles 90.00, 90.00, 90.00 degrees
Space group Imm2 (No. 44)
Symmetry-distinct sites (fractional):
Ba  0.0000  0.0000  0.0000 [2 per cell]
Ba  0.0000  0.5000  0.1995 [2 per cell]
Ag  0.0000  0.0000  0.3947 [2 per cell]
Ir  0.0000  0.5000  0.7238 [2 per cell]

Energy (eV/cell): -30.73
Offset from the most stable computed form (eV per atom): 0.1371